[1]
4
Lattice="-3.492 -0.434 1.473 -2.820 -1.397 -2.157 1.065 -12.982 3.642" Properties=species:S:1:pos:R:3 comment="Ba2SmMg | Alexandria via LeMat-Bulk | PBE | relaxed" formation_energy_mev_per_atom=338 density_g_cm3=4.44 relative_energy_mev_per_atom=191 e_tot_ev_per_cell=-8.81 dos_at_fermi_per_ev_atom=1.52 total_magnetization_mub_per_fu=0.0 pbc="T T T"
Mg -2.624 -7.406 1.479
Sm 0.000 0.000 0.000
Ba 0.200 -9.605 2.585
Ba -5.447 -5.208 0.372

***

[2]
10
Lattice="6.690 0.000 0.000 0.000 6.690 0.000 0.000 0.000 3.583" Properties=species:S:1:pos:R:3 comment="Ta2VGa2 | Alexandria via LeMat-Bulk | PBE | relaxed" formation_energy_mev_per_atom=-190 density_g_cm3=11.44 relative_energy_mev_per_atom=0 e_tot_ev_per_cell=-79.66 dos_at_fermi_per_ev_atom=0.46 total_magnetization_mub_per_fu=0.0 pbc="T T T"
Ta 1.161 4.506 1.791
Ta 5.530 2.184 1.791
Ta 2.184 1.161 1.791
Ta 4.506 5.530 1.791
Ga 0.870 2.475 0.000
Ga 2.475 5.820 0.000
Ga 4.216 0.870 0.000
Ga 5.820 4.216 0.000
V 3.345 3.345 0.000
V 0.000 0.000 0.000

***

[3]
5
Lattice="4.474 0.000 0.000 0.000 4.474 0.000 2.237 2.237 6.829" Properties=species:S:1:pos:R:3 comment="NaMg2In2 | Alexandria via LeMat-Bulk | PBE | relaxed" formation_energy_mev_per_atom=-34 density_g_cm3=3.66 relative_energy_mev_per_atom=50 e_tot_ev_per_cell=-10.16 dos_at_fermi_per_ev_atom=0.46 total_magnetization_mub_per_fu=0.0 pbc="T T T"
In 2.237 2.237 1.433
In 4.474 4.474 5.396
Mg 4.474 2.237 3.414
Mg 2.237 4.474 3.414
Na 0.000 0.000 0.000